The following is a PBE-GGA calculation of a relaxed structure of CeEr2Cd, from Alexandria via LeMat-Bulk.

Structure (POSCAR):
```
CeEr2Cd
1.0
1.752 1.011 10.820
-1.752 1.011 10.820
0.000 -2.023 10.820
Ce Er Cd
1 2 1
Direct
0.000 0.000 0.000
0.244 0.244 0.244
0.422 0.422 0.422
0.833 0.833 0.833
```

Computed properties:
energy of formation = -0.372 kcal/mol of atoms
energy = -0.1474 hartree per atom